First-principles (GGA-PBE) data for crystalline TbPrTe2I at its relaxed geometry, as listed in Alexandria.

a = 4.638 Å, b = 4.638 Å, c = 15.161 Å
α = 90.00°, β = 90.00°, γ = 90.00°
Fractional coordinates of all 10 atoms:
Tb 0.250 0.250 0.087
Tb 0.750 0.750 0.913
Pr 0.250 0.250 0.655
Pr 0.750 0.750 0.345
Te 0.250 0.250 0.290
Te 0.250 0.250 0.883
Te 0.750 0.750 0.117
Te 0.750 0.750 0.710
I 0.250 0.750 0.500
I 0.750 0.250 0.500

Calculated values
Total energy ... -4.63 eV per atom
Raw formation energy ... -1.181 eV/atom
DOS at the Fermi energy ... 0.419 states/eV/atom
Total magnetic moment ... 0.00 μB/f.u.